Sc2AlMo: optimized geometry, PBEsol.

## Properties
For the magnetic moment, the calculation gives 0.00 μB/cell. The mass density is 4.87 g/cm3. The space group is Cmmm. Its formation energy from the elements is -25 meV per atom. The value obtained for the calculated total energy is -7.29 eV/atom.

abc: 2.868 5.184 5.184
angles: 109.66 90.00 90.00
Fractional coordinates of all 4 atoms:
Sc  0.000  0.000  0.500
Sc  0.000  0.500  0.000
Al  0.500  0.000  0.000
Mo  0.500  0.500  0.500


ScAl2Mo: optimized geometry, PBEsol.

## Properties
The calculation puts the relative energy among the computed polymorphs at 36 meV per atom. For the magnetic moment, the calculation gives 0.22 μB/cell. The mass density is 4.92 g/cm3. The space group is Pmmm. Its formation energy from the elements is -264 meV per atom. The value obtained for the calculated total energy is -6.90 eV/atom.

abc: 2.801 4.103 5.724
angles: 90.00 90.00 90.00
Last column: magnetic moment on the atom in μB.
Fractional coordinates of all 4 atoms:
Al  0.000  0.000  0.228  0.00
Al  0.000  0.000  0.772  0.00
Sc  0.500  0.500  0.500  0.15
Mo  0.500  0.500  0.000  0.01


ScAl2Mo: optimized geometry, PBEsol.

## Properties
The calculation puts the relative energy among the computed polymorphs at 0 meV per atom. For the magnetic moment, the calculation gives 0.00 μB/cell. The mass density is 4.96 g/cm3. The space group is I4/mmm. Its formation energy from the elements is -300 meV per atom. The value obtained for the calculated total energy is -6.94 eV/atom.

abc: 4.044 4.044 4.910
angles: 114.32 114.32 90.00
Fractional coordinates of all 4 atoms:
Al  0.750  0.250  0.500
Al  0.250  0.750  0.500
Sc  0.000  0.000  0.000
Mo  0.500  0.500  0.000


> Which formula does entry 3 have?

ScAl2Mo


> Look up the formation energy from the elements of the third one.

-300 meV per atom


> What is the formula in the first record?

Sc2AlMo